1.
Ac2EuTl | the Alexandria database | PBE | optimized geometry; symmetry = No. 123; calculated density = 9.03 g/cm³; DOS at the Fermi energy = 5.44 states/eV/f.u.; energy of formation from the pure elements = -0.135 eV/atom; magnetic moment = 1.942 μB/atom
1.0
5.0795 0.0000 0.0000
0.0000 5.4168 0.0000
0.0000 0.0000 5.4168
Eu Ac Tl
1 2 1
direct
0.5000 0.5000 0.5000 Eu
0.0000 0.0000 0.5000 Ac
0.0000 0.5000 0.0000 Ac
0.5000 0.0000 0.0000 Tl

2.
Mn2WCl | the Alexandria database | PBE | optimized geometry; symmetry = No. 123; calculated density = 8.47 g/cm³; DOS at the Fermi energy = 3.51 states/eV/f.u.; magnetic moment = 1.527 μB/atom; formation energy without anion corrections = 0.290 eV per atom
1.0
-0.1566 0.4797 -2.9156
0.8940 -2.7751 -0.5046
-7.0151 -2.2608 0.0049
Mn W Cl
2 1 1
direct
0.0000 0.0000 0.0215 Mn
0.0000 0.0000 0.4785 Mn
0.5000 0.5000 0.2500 W
0.5000 0.5000 0.7500 Cl

3.
YAgN2O | the Alexandria database | PBE | optimized geometry; symmetry = No. 123; calculated density = 6.07 g/cm³; DOS at the Fermi energy = 3.59 states/eV/f.u.; magnetic moment = 0.000 μB/atom; formation energy without anion corrections = 0.367 eV per atom
1.0
4.0276 0.0000 0.0000
0.0000 4.0276 0.0000
0.0000 0.0000 4.0599
Ag Y N O
1 1 2 1
direct
0.0000 0.0000 0.0000 Ag
0.5000 0.5000 0.5000 Y
0.0000 0.5000 0.0000 N
0.5000 0.0000 0.0000 N
0.0000 0.0000 0.5000 O

4.
TlSiS2Cl | the Alexandria database | PBE | optimized geometry; symmetry = No. 123; calculated density = 5.02 g/cm³; DOS at the Fermi energy = 0.12 states/eV/f.u.; magnetic moment = 0.000 μB/atom; formation energy without anion corrections = -0.287 eV per atom
1.0
4.5924 0.0000 0.0000
0.0000 4.5924 0.0000
0.0000 0.0000 5.2050
Tl S Si Cl
1 2 1 1
direct
0.5000 0.5000 0.5000 Tl
0.0000 0.5000 0.0000 S
0.5000 0.0000 0.0000 S
0.0000 0.0000 0.0000 Si
0.0000 0.0000 0.5000 Cl

5.
LiSc2Os | the Alexandria database | PBE | optimized geometry; symmetry = No. 119; calculated density = 6.81 g/cm³; DOS at the Fermi energy = 3.96 states/eV/f.u.; energy of formation from the pure elements = -0.014 eV/atom; magnetic moment = 0.000 μB/atom
1.0
5.1723 0.0217 0.0000
2.0199 4.7617 0.0000
-3.5961 -2.3917 2.8463
Li Sc Os
1 2 1
direct
0.5000 0.5000 0.0000 Li
0.0000 0.0000 0.0000 Sc
0.2500 0.7500 0.5000 Sc
0.7500 0.2500 0.5000 Os

6.
WSeN | the Alexandria database | PBE | optimized geometry; symmetry = No. 64; calculated density = 10.09 g/cm³; DOS at the Fermi energy = 1.26 states/eV/f.u.; magnetic moment = 0.000 μB/atom; formation energy without anion corrections = 0.355 eV per atom
1.0
4.2281 2.4893 0.0000
0.7179 4.8537 0.0000
0.0000 0.0000 9.7255
Se N W
4 4 4
direct
0.7222 0.7222 0.3617 Se
0.2778 0.2778 0.6383 Se
0.7778 0.7778 0.8617 Se
0.2222 0.2222 0.1383 Se
0.3497 0.6503 0.0000 N
0.6503 0.3497 0.0000 N
0.8497 0.1503 0.5000 N
0.1503 0.8497 0.5000 N
0.0879 0.0879 0.8826 W
0.4121 0.4121 0.3826 W
0.9121 0.9121 0.1174 W
0.5879 0.5879 0.6174 W

7.
ThSc2Ir2 | the Alexandria database | PBE | optimized geometry; symmetry = No. 139; calculated density = 10.84 g/cm³; DOS at the Fermi energy = 3.12 states/eV/f.u.; energy of formation from the pure elements = -0.786 eV/atom; magnetic moment = 0.000 μB/atom
1.0
4.2151 0.0000 0.0000
0.0000 4.2151 0.0000
-2.1076 -2.1076 6.0888
Sc Ir Th
2 2 1
direct
0.2500 0.7500 0.5000 Sc
0.7500 0.2500 0.5000 Sc
0.6104 0.6104 0.2208 Ir
0.3896 0.3896 0.7792 Ir
0.0000 0.0000 0.0000 Th

8.
CsTeH2 | the Alexandria database | PBE | optimized geometry; symmetry = No. 25; calculated density = 4.65 g/cm³; calculated total energy = -2.764 eV/atom; DOS at the Fermi energy = 1.24 states/eV/f.u.; magnetic moment = 0.000 μB/atom
1.0
-3.4685 -1.9988 -2.9488
2.5519 -3.1580 -0.8610
-1.6707 -2.3133 3.5332
H Te Cs
2 1 1
direct
0.5000 0.0000 0.4285 H
0.5000 0.5000 0.9214 H
0.5000 0.0000 0.9241 Te
0.0000 0.5000 0.4236 Cs

9.
CeZn5Au7 | the Alexandria database | PBE | optimized geometry; symmetry = No. 44; calculated density = 13.16 g/cm³; DOS at the Fermi energy = 10.88 states/eV/f.u.; energy of formation from the pure elements = -0.329 eV/atom; magnetic moment = 0.066 μB/atom
1.0
-4.6859 -1.1787 -2.2344
-0.1107 -6.6353 -2.6091
-4.6246 -2.6332 4.7462
Zn Au Ce
5 7 1
direct
0.5022 0.4956 0.9962 Zn
0.0060 0.4956 0.9962 Zn
0.0060 0.9962 0.4956 Zn
0.7359 0.7641 0.7641 Zn
0.5022 0.9962 0.4956 Zn
0.9954 0.3438 0.6654 Au
0.2701 0.2299 0.2299 Au
0.9954 0.6654 0.3438 Au
0.5109 0.1809 0.7972 Au
0.3250 0.6750 0.6750 Au
0.6480 0.3520 0.3520 Au
0.5109 0.7972 0.1809 Au
0.9918 0.0082 0.0082 Ce

10.
Li2Pr2HoIn5 | the Alexandria database | PBE | optimized geometry; symmetry = No. 127; calculated density = 7.02 g/cm³; DOS at the Fermi energy = 5.11 states/eV/f.u.; energy of formation from the pure elements = -0.428 eV/atom; magnetic moment = 0.000 μB/atom
1.0
4.5524 0.0000 0.0000
0.0000 10.3696 0.0000
0.0000 0.0000 10.3696
In Pr Ho Li
10 4 2 4
direct
0.5000 0.4331 0.2892 In
0.5000 0.0000 0.5000 In
0.5000 0.2892 0.5669 In
0.5000 0.5669 0.7108 In
0.5000 0.7108 0.4331 In
0.5000 0.2108 0.0669 In
0.5000 0.9331 0.2108 In
0.5000 0.5000 0.0000 In
0.5000 0.0669 0.7892 In
0.5000 0.7892 0.9331 In
0.0000 0.3215 0.8215 Pr
0.0000 0.8215 0.6785 Pr
0.0000 0.1785 0.3215 Pr
0.0000 0.6785 0.1785 Pr
0.0000 0.5000 0.5000 Ho
0.0000 0.0000 0.0000 Ho
0.0000 0.8841 0.3841 Li
0.0000 0.6159 0.8841 Li
0.0000 0.1159 0.6159 Li
0.0000 0.3841 0.1159 Li

11.
LaTh2Zr | the Alexandria database | PBE | optimized geometry; symmetry = No. 123; calculated density = 9.42 g/cm³; DOS at the Fermi energy = 7.23 states/eV/f.u.; energy of formation from the pure elements = 0.149 eV/atom; magnetic moment = 0.000 μB/atom
1.0
4.8771 0.0000 0.0000
0.0000 5.0083 0.0000
0.0000 0.0000 5.0083
Th Zr La
2 1 1
direct
0.0000 0.0000 0.5000 Th
0.0000 0.5000 0.0000 Th
0.5000 0.0000 0.0000 Zr
0.5000 0.5000 0.5000 La

12.
LaMnCo10 | the Alexandria database | PBE | optimized geometry; symmetry = No. 47; calculated density = 7.92 g/cm³; DOS at the Fermi energy = 14.55 states/eV/f.u.; energy of formation from the pure elements = 0.105 eV/atom; magnetic moment = 1.651 μB/atom
1.0
-3.2001 -2.4030 -0.5542
1.1651 -2.4538 3.9118
-4.7755 5.2693 4.7276
Co La Mn
10 1 1
direct
0.5000 0.0000 0.5000 Co
0.0000 0.0000 0.3513 Co
0.5000 0.7434 0.7381 Co
0.0000 0.5000 0.7907 Co
0.5000 0.7434 0.2619 Co
0.0000 0.0000 0.6487 Co
0.5000 0.2566 0.2619 Co
0.0000 0.5000 0.2093 Co
0.5000 0.2566 0.7381 Co
0.5000 0.5000 0.0000 Co
0.0000 0.0000 0.0000 La
0.0000 0.5000 0.5000 Mn

13.
BaBeH4 | the Alexandria database | PBE | optimized geometry; symmetry = No. 15; calculated density = 3.68 g/cm³; calculated total energy = -3.354 eV/atom; DOS at the Fermi energy = 0.00 states/eV/f.u.; magnetic moment = 0.000 μB/atom
1.0
-4.0605 1.4421 0.7930
1.2428 -6.7792 1.7402
2.7631 4.0514 3.1531
H Be Ba
8 2 2
direct
0.1325 0.1749 0.1973 H
0.5648 0.0224 0.1973 H
0.6941 0.3862 0.1941 H
0.3059 0.6138 0.8059 H
0.8675 0.8251 0.8027 H
0.4352 0.9776 0.8027 H
0.0000 0.1921 0.8059 H
0.0000 0.8079 0.1941 H
0.7396 0.9896 0.9791 Be
0.2604 0.0104 0.0209 Be
0.4087 0.6587 0.3174 Ba
0.5913 0.3413 0.6826 Ba

14.
CaPm4In5 | the Alexandria database | PBE | optimized geometry; symmetry = No. 123; calculated density = 6.94 g/cm³; DOS at the Fermi energy = 6.10 states/eV/f.u.; energy of formation from the pure elements = -0.485 eV/atom; magnetic moment = 0.000 μB/atom
1.0
-3.0741 -2.2384 -0.4974
2.2612 -2.8211 -1.2794
1.9276 -6.6755 18.1270
In Pm Ca
5 4 1
direct
0.5000 0.5000 0.3007 In
0.5000 0.5000 0.0990 In
0.5000 0.5000 0.9010 In
0.5000 0.5000 0.5000 In
0.5000 0.5000 0.6993 In
0.0000 0.0000 0.4004 Pm
0.0000 0.0000 0.1988 Pm
0.0000 0.0000 0.8012 Pm
0.0000 0.0000 0.5996 Pm
0.0000 0.0000 0.0000 Ca

15.
AcSiIrF | the Alexandria database | PBE | optimized geometry; symmetry = No. 129; calculated density = 10.10 g/cm³; DOS at the Fermi energy = 1.89 states/eV/f.u.; magnetic moment = 0.000 μB/atom; formation energy without anion corrections = -2.002 eV per atom
1.0
-1.4372 2.2981 -3.1331
-3.3881 -2.3766 -0.1891
-4.1004 5.3815 5.8281
Ir Si F Ac
2 2 2 2
direct
0.0000 0.0000 0.0000 Ir
0.5000 0.5000 0.0000 Ir
0.5000 0.0000 0.1411 Si
0.0000 0.5000 0.8589 Si
0.0000 0.0000 0.5000 F
0.5000 0.5000 0.5000 F
0.5000 0.0000 0.6894 Ac
0.0000 0.5000 0.3106 Ac

16.
CeGaOs | the Alexandria database | PBE | optimized geometry; symmetry = No. 187; calculated density = 10.81 g/cm³; DOS at the Fermi energy = 4.04 states/eV/f.u.; energy of formation from the pure elements = -0.275 eV/atom; magnetic moment = 0.000 μB/atom
1.0
3.6876 0.0000 0.0000
0.0000 4.3863 0.0000
0.0000 -2.1932 3.7987
Ce Os Ga
1 1 1
direct
0.0000 0.0000 0.0000 Ce
0.5000 0.3333 0.6667 Os
0.5000 0.6667 0.3333 Ga

17.
AcPm3Pr2 | the Alexandria database | PBE | optimized geometry; symmetry = No. 164; calculated density = 7.05 g/cm³; DOS at the Fermi energy = 10.35 states/eV/f.u.; energy of formation from the pure elements = 0.209 eV/atom; magnetic moment = 0.000 μB/atom
1.0
7.1188 0.0000 0.0000
-3.5594 6.1651 0.0000
0.0000 0.0000 10.1306
Pm Ac Pr
6 2 4
direct
0.1823 0.8177 0.2610 Pm
0.8177 0.6354 0.7390 Pm
0.8177 0.1823 0.7390 Pm
0.1823 0.3646 0.2610 Pm
0.6354 0.8177 0.2610 Pm
0.3646 0.1823 0.7390 Pm
0.6667 0.3333 0.0711 Ac
0.3333 0.6667 0.9289 Ac
0.6667 0.3333 0.4240 Pr
0.0000 0.0000 0.0000 Pr
0.0000 0.0000 0.5000 Pr
0.3333 0.6667 0.5760 Pr

18.
Zr2Si2Pb | the Alexandria database | PBE | optimized geometry; symmetry = No. 127; calculated density = 7.45 g/cm³; DOS at the Fermi energy = 6.60 states/eV/f.u.; magnetic moment = 0.000 μB/atom; formation energy without anion corrections = -0.345 eV per atom
1.0
-2.3558 -0.1968 -6.9229
-0.7565 -7.2614 0.4638
-3.4950 0.4393 1.1768
Pb Zr Si
2 4 4
direct
0.0000 0.0000 0.0000 Pb
0.5000 0.5000 0.0000 Pb
0.1725 0.6725 0.5000 Zr
0.6725 0.8275 0.5000 Zr
0.8275 0.3275 0.5000 Zr
0.3275 0.1725 0.5000 Zr
0.8833 0.6167 0.0000 Si
0.1167 0.3833 0.0000 Si
0.3833 0.8833 0.0000 Si
0.6167 0.1167 0.0000 Si

19.
NaAcBiO4 | the Alexandria database | PBE | optimized geometry; symmetry = No. 74; calculated density = 6.31 g/cm³; DOS at the Fermi energy = 2.08 states/eV/f.u.; magnetic moment = 0.000 μB/atom; formation energy without anion corrections = -1.902 eV per atom
1.0
-4.1631 2.5190 5.0813
-5.3643 -4.1944 2.5549
0.8837 -2.4285 6.7984
Ac Na O Bi
2 2 8 2
direct
0.0000 0.5000 0.5000 Ac
0.0000 0.0000 0.0000 Ac
0.5961 0.6539 0.1539 Na
0.4039 0.3461 0.8461 Na
0.7495 0.1942 0.3067 O
0.2505 0.1933 0.3058 O
0.7526 0.7751 0.2751 O
0.7495 0.8067 0.6942 O
0.1972 0.7751 0.2751 O
0.2505 0.8058 0.6933 O
0.2474 0.2249 0.7249 O
0.8028 0.2249 0.7249 O
0.0000 0.0000 0.5000 Bi
0.5000 0.0000 0.5000 Bi

20.
AlPtO2 | the Alexandria database | PBE | optimized geometry; symmetry = No. 63; calculated density = 7.90 g/cm³; DOS at the Fermi energy = 0.75 states/eV/f.u.; magnetic moment = 0.000 μB/atom; formation energy without anion corrections = -1.289 eV per atom
1.0
1.4980 -6.5789 0.0000
1.4980 6.5789 0.0000
0.0000 0.0000 5.4221
Pt O Al
2 4 2
direct
0.0236 0.9764 0.2500 Pt
0.9764 0.0236 0.7500 Pt
0.8691 0.1309 0.2500 O
0.1309 0.8691 0.7500 O
0.1776 0.8224 0.2500 O
0.8224 0.1776 0.7500 O
0.3044 0.6956 0.2500 Al
0.6956 0.3044 0.7500 Al